AlWOF2: relaxed, PBE+U.

Lattice parameters (Å, degrees): 4.1826 4.1826 3.5636 90.00 90.00 90.00
Fractional positions:
W  0.5000  0.5000  0.5000
F  0.0000  0.5000  0.0000
F  0.5000  0.0000  0.0000
Al  0.0000  0.0000  0.0000
O  0.0000  0.0000  0.5000

Computed properties:
DFT total energy: -5.401 eV/atom
mass density: 7.1 g/cm3